First-principles (PBEsol) data for SrLi2Pt after structural relaxation, as listed in Alexandria.

Values from the calculation:
- Relative energy among the computed polymorphs: 132.2 meV/atom
- Total moment: 0.0 Bohr magnetons per cell
- DOS(E_F): 1.6 states/eV per cell
- Total DFT energy (no corrections): -13.85 eV for the cell shown
- Volume: 18.97 A^3/atom

Geometry as CIF:
```
data_SrLi2Pt
_symmetry_space_group_name_H-M 'P 1'
_symmetry_Int_Tables_number 1
_symmetry_space_group_name_Hall 'P 1'
_cell_length_a 4.752
_cell_length_b 4.752
_cell_length_c 4.752
_cell_angle_alpha 60.00
_cell_angle_beta 60.00
_cell_angle_gamma 60.00
loop_
_atom_site_label
_atom_site_type_symbol
_atom_site_fract_x
_atom_site_fract_y
_atom_site_fract_z
Li1 Li 0.250 0.250 0.250
Li2 Li 0.750 0.750 0.750
Pt1 Pt 0.000 0.000 0.000
Sr1 Sr 0.500 0.500 0.500
```

First-principles (PBEsol) data for SrLiPt after structural relaxation, as listed in Alexandria.

Values from the calculation:
- Relative energy among the computed polymorphs: 581.2 meV/atom
- Total moment: 0.0 Bohr magnetons per cell
- DOS(E_F): 2.5 states/eV per cell
- Total DFT energy (no corrections): -10.45 eV for the cell shown
- Volume: 26.50 A^3/atom

Geometry as CIF:
```
data_SrLiPt
_symmetry_space_group_name_H-M 'P 1'
_symmetry_Int_Tables_number 1
_symmetry_space_group_name_Hall 'P 1'
_cell_length_a 4.827
_cell_length_b 4.827
_cell_length_c 4.827
_cell_angle_alpha 60.00
_cell_angle_beta 60.00
_cell_angle_gamma 60.00
loop_
_atom_site_label
_atom_site_type_symbol
_atom_site_fract_x
_atom_site_fract_y
_atom_site_fract_z
Sr1 Sr 0.250 0.250 0.250
Pt1 Pt 0.500 0.500 0.500
Li1 Li 0.000 0.000 0.000
```

First-principles (PBEsol) data for SrLi2Pt after structural relaxation, as listed in Alexandria.

Values from the calculation:
- Relative energy among the computed polymorphs: 65.0 meV/atom
- Total moment: 0.0 Bohr magnetons per cell
- DOS(E_F): 1.6 states/eV per cell
- Total DFT energy (no corrections): -14.12 eV for the cell shown
- Volume: 20.66 A^3/atom

Geometry as CIF:
```
data_SrLi2Pt
_symmetry_space_group_name_H-M 'P 1'
_symmetry_Int_Tables_number 1
_symmetry_space_group_name_Hall 'P 1'
_cell_length_a 3.862
_cell_length_b 4.818
_cell_length_c 5.063
_cell_angle_alpha 105.34
_cell_angle_beta 90.00
_cell_angle_gamma 113.63
loop_
_atom_site_label
_atom_site_type_symbol
_atom_site_fract_x
_atom_site_fract_y
_atom_site_fract_z
Sr1 Sr 0.500 0.000 0.000
Pt1 Pt 0.000 0.000 0.500
Li1 Li 0.709 0.417 0.628
Li2 Li 0.291 0.583 0.372
```

First-principles (PBEsol) data for SrLi2Pt after structural relaxation, as listed in Alexandria.

Values from the calculation:
- Relative energy among the computed polymorphs: 78.9 meV/atom
- Total moment: 0.0 Bohr magnetons per cell
- DOS(E_F): 1.3 states/eV per cell
- Total DFT energy (no corrections): -14.06 eV for the cell shown
- Volume: 20.91 A^3/atom

Geometry as CIF:
```
data_SrLi2Pt
_symmetry_space_group_name_H-M 'P 1'
_symmetry_Int_Tables_number 1
_symmetry_space_group_name_Hall 'P 1'
_cell_length_a 4.360
_cell_length_b 4.360
_cell_length_c 5.670
_cell_angle_alpha 67.39
_cell_angle_beta 67.39
_cell_angle_gamma 60.00
loop_
_atom_site_label
_atom_site_type_symbol
_atom_site_fract_x
_atom_site_fract_y
_atom_site_fract_z
Sr1 Sr 0.000 0.000 0.000
Pt1 Pt 0.500 0.500 0.500
Li1 Li 0.201 0.201 0.397
Li2 Li 0.799 0.799 0.603
```

First-principles (PBEsol) data for LiTaPt2 after structural relaxation, as listed in Alexandria.

Values from the calculation:
- Total moment: 0.0 Bohr magnetons per cell
- DOS(E_F): 2.1 states/eV per cell
- Total DFT energy (no corrections): -30.86 eV for the cell shown
- Volume: 14.60 A^3/atom

Geometry as CIF:
```
data_LiTaPt2
_symmetry_space_group_name_H-M 'P 1'
_symmetry_Int_Tables_number 1
_symmetry_space_group_name_Hall 'P 1'
_cell_length_a 2.818
_cell_length_b 3.332
_cell_length_c 6.220
_cell_angle_alpha 90.00
_cell_angle_beta 90.00
_cell_angle_gamma 90.00
loop_
_atom_site_label
_atom_site_type_symbol
_atom_site_fract_x
_atom_site_fract_y
_atom_site_fract_z
Ta1 Ta 0.500 0.500 0.000
Pt1 Pt 0.000 0.000 0.732
Pt2 Pt 0.000 0.000 0.268
Li1 Li 0.500 0.500 0.500
```

First-principles (PBEsol) data for LiTaPt2 after structural relaxation, as listed in Alexandria.

Values from the calculation:
- Total moment: 0.0 Bohr magnetons per cell
- DOS(E_F): 2.0 states/eV per cell
- Total DFT energy (no corrections): -30.69 eV for the cell shown
- Volume: 15.12 A^3/atom

Geometry as CIF:
```
data_LiTaPt2
_symmetry_space_group_name_H-M 'P 1'
_symmetry_Int_Tables_number 1
_symmetry_space_group_name_Hall 'P 1'
_cell_length_a 2.760
_cell_length_b 4.737
_cell_length_c 4.871
_cell_angle_alpha 97.59
_cell_angle_beta 106.46
_cell_angle_gamma 90.00
loop_
_atom_site_label
_atom_site_type_symbol
_atom_site_fract_x
_atom_site_fract_y
_atom_site_fract_z
Ta1 Ta 0.487 0.462 0.974
Pt1 Pt 0.010 0.958 0.019
Pt2 Pt 0.743 0.282 0.486
Li1 Li 0.261 0.798 0.521
```